The following is a DFT calculation (PBE) of crystalline Pm3Co2Sn3 at its relaxed geometry.

Geometry as POSCAR:
```
Pm3Co2Sn3
1.0
-1.417 1.648 -3.911
-0.899 -5.891 0.403
-13.707 2.502 6.018
Sn Pm Co
6 6 4
Cartesian
-4.539 -2.880 0.430 Sn
-8.513 -2.298 2.115 Sn
-7.509 0.557 0.395 Sn
-1.665 -0.509 -2.171 Sn
-11.484 1.140 2.080 Sn
-14.357 -1.231 4.681 Sn
-4.603 -0.026 -0.903 Pm
-8.596 0.785 3.444 Pm
-11.419 -1.714 3.413 Pm
-3.587 -3.226 -2.620 Pm
-12.436 1.486 5.130 Pm
-7.427 -2.525 -0.934 Pm
-9.964 -0.629 0.784 Co
-6.058 -1.111 1.726 Co
-2.125 -1.829 -0.001 Co
-13.898 0.089 2.511 Co
```

* mass density: 8.03 g/cm3
* formation energy: -0.528 eV per atom
* energy: -0.4106 Ry per atom